[1]
# LiDyAl4

A relaxed structure of LiDyAl4 (PBE, Alexandria).

Properties
**Uncorrected energy**: -23.1 eV per cell
**Formation energy from the elements**: -0.27 eV per atom
**Volume**: 19.47 Å³/atom
**Total magnetization**: 0.00 Bohr magnetons per cell

Cell lengths 5.487, 5.487, 5.487 Å; angles 60.00, 60.00, 60.00 degrees
Fractional coordinates of all 6 atoms:
Li1 0.000 0.000 0.000
Dy1 0.250 0.250 0.250
Al1 0.126 0.625 0.625
Al2 0.625 0.126 0.625
Al3 0.625 0.625 0.126
Al4 0.625 0.625 0.625

[2]
# NaOsRu2

A relaxed structure of NaOsRu2 (PBE, Alexandria).

Properties
**Uncorrected energy**: -54.2 eV per cell
**Formation energy from the elements**: 1.00 eV per atom
**Volume**: 17.88 Å³/atom
**Total magnetization**: 0.00 Bohr magnetons per cell

Cell lengths 5.803, 5.803, 5.803 Å; angles 102.76, 102.76, 123.94 degrees
Fractional coordinates of all 8 atoms:
Na1 0.000 0.000 0.000
Na2 0.750 0.250 0.500
Os1 0.250 0.750 0.500
Os2 0.500 0.500 0.000
Ru1 0.180 0.625 0.055
Ru2 0.375 0.430 0.555
Ru3 0.570 0.125 0.945
Ru4 0.875 0.820 0.445

[3]
# TcAs2Se

A relaxed structure of TcAs2Se (PBE, Alexandria).

Properties
**Uncorrected energy**: -22.6 eV per cell
**Formation energy from raw total energies**: 127 meV per atom
**Volume**: 19.64 Å³/atom
**Total magnetization**: 0.00 Bohr magnetons per cell

Cell lengths 6.705, 6.705, 6.705 Å; angles 153.51, 144.13, 45.15 degrees
Fractional coordinates of all 4 atoms:
Tc1 0.000 0.000 0.000
As1 0.185 0.685 0.500
As2 0.550 0.550 0.000
Se1 0.841 0.341 0.500

[4]
# PmNdTl

A relaxed structure of PmNdTl (PBE, Alexandria).

Properties
**Uncorrected energy**: -12.5 eV per cell
**Formation energy from the elements**: -0.22 eV per atom
**Volume**: 31.85 Å³/atom
**Total magnetization**: 0.00 Bohr magnetons per cell

Cell lengths 7.290, 7.290, 7.290 Å; angles 150.18, 150.18, 42.67 degrees
Fractional coordinates of all 3 atoms:
Pm1 0.000 0.000 0.000
Nd1 0.311 0.311 0.000
Tl1 0.653 0.653 0.000

[5]
# Na2Hg8Sb

A relaxed structure of Na2Hg8Sb (PBE, Alexandria).

Properties
**Uncorrected energy**: -10.4 eV per cell
**Formation energy from raw total energies**: -109 meV per atom
**Volume**: 27.07 Å³/atom
**Total magnetization**: 0.00 Bohr magnetons per cell

Cell lengths 4.998, 4.998, 11.920 Å; angles 90.00, 90.00, 90.00 degrees
Fractional coordinates of all 11 atoms:
Na1 0.000 0.000 0.176
Na2 0.000 0.000 0.824
Hg1 0.000 0.500 0.000
Hg2 0.000 0.500 0.349
Hg3 0.000 0.500 0.651
Hg4 0.500 0.000 0.000
Hg5 0.500 0.000 0.349
Hg6 0.500 0.000 0.651
Hg7 0.500 0.500 0.183
Hg8 0.500 0.500 0.817
Sb1 0.000 0.000 0.500

[6]
# Li2Ge2Cl7

A relaxed structure of Li2Ge2Cl7 (PBE, Alexandria).

Properties
**Uncorrected energy**: -37.9 eV per cell
**Formation energy from raw total energies**: -1080 meV per atom
**Volume**: 28.94 Å³/atom
**Total magnetization**: 0.57 Bohr magnetons per cell

Cell lengths 7.428, 7.428, 6.889 Å; angles 113.75, 113.75, 80.03 degrees
Fractional coordinates of all 11 atoms:
Li1 0.180 0.820 0.000
Li2 0.820 0.180 0.000
Ge1 0.294 0.294 0.566
Ge2 0.706 0.706 0.434
Cl1 0.045 0.045 0.284
Cl2 0.113 0.476 0.796
Cl3 0.476 0.113 0.796
Cl4 0.500 0.500 0.500
Cl5 0.524 0.887 0.204
Cl6 0.887 0.524 0.204
Cl7 0.955 0.955 0.716

[7]
# ZrScPa2C4

A relaxed structure of ZrScPa2C4 (PBE, Alexandria).

Properties
**Uncorrected energy**: -75.0 eV per cell
**Formation energy from the elements**: -0.53 eV per atom
**Volume**: 15.01 Å³/atom
**Total magnetization**: 0.00 Bohr magnetons per cell

Cell lengths 6.007, 3.500, 6.063 Å; angles 90.00, 109.58, 90.00 degrees
Fractional coordinates of all 8 atoms:
Zr1 0.000 0.000 0.000
Sc1 0.000 0.500 0.500
Pa1 0.500 0.000 0.500
Pa2 0.500 0.500 0.000
C1 0.244 0.500 0.245
C2 0.251 0.000 0.754
C3 0.749 0.000 0.246
C4 0.756 0.500 0.755

[8]
# Ga3HPt

A relaxed structure of Ga3HPt (PBE, Alexandria).

Properties
**Uncorrected energy**: -18.1 eV per cell
**Volume**: 14.25 Å³/atom
**Total magnetization**: 0.00 Bohr magnetons per cell

Cell lengths 4.146, 4.146, 4.146 Å; angles 90.00, 90.00, 90.00 degrees
Fractional coordinates of all 5 atoms:
Ga1 0.000 0.000 0.500
Ga2 0.000 0.500 0.000
Ga3 0.500 0.000 0.000
H1 0.000 0.000 0.000
Pt1 0.500 0.500 0.500